The following is a PBE calculation of an optimized crystal structure of TlTc2O7, from Alexandria.

Calculated values
Calculated density = 7.1 Mg/m³
E above lowest polymorph = 118 meV/atom
Formation energy without anion corrections = -1091 meV/atom

Lattice parameters (Å, degrees): 5.9544 5.9544 3.7919 90.00 90.00 116.50
With the nearest neighbours (Å) after each atom.
Atoms (fractional coordinates):
Tl  0.0000  0.0000  0.0000  8 O 2.67
Tc  0.3098  0.6902  0.5000  7 O 1.90-2.03
Tc  0.6902  0.3098  0.5000  7 O 1.90-2.03
O  0.0380  0.3310  0.5000  2 Tc 2.02-2.03, 1 O 2.25
O  0.3064  0.6936  0.0000  2 Tc 1.90
O  0.3310  0.0380  0.5000  2 Tc 2.02-2.03, 1 O 2.25
O  0.5000  0.5000  0.5000  2 Tc 1.93
O  0.6690  0.9620  0.5000  2 Tc 2.02-2.03, 1 O 2.25
O  0.6936  0.3064  0.0000  2 Tc 1.90
O  0.9620  0.6690  0.5000  2 Tc 2.02-2.03, 1 O 2.25